Record 1
VASP calculation (GGA-PBE) on Lu2OsAu after structural relaxation.

Summary:
As for the symmetry: No. 123. Its formation energy is -0.65 eV per atom.

a b c (Å): 3.3556 3.3556 7.2145
angles (deg): 90.00 90.00 90.00
With the nearest neighbours (Å) after each atom.
Element x y z (fractional)
Au: 0.5000 0.5000 0.5000  8 Lu 3.08, 4 Au 3.36
Lu: 0.0000 0.0000 0.2268  4 Os 2.88, 4 Au 3.08
Lu: 0.0000 0.0000 0.7732  4 Os 2.88, 4 Au 3.08
Os: 0.5000 0.5000 0.0000  8 Lu 2.88

Record 2
VASP calculation (GGA-PBE) on SrVSe2 after structural relaxation.

Summary:
The calculation puts the energy relative to the elements, uncorrected at -0.66 eV per atom. As for the symmetry: No. 166. The calculation puts the energy relative to the lowest polymorph listed for this composition at 310 meV per atom.

a b c (Å): 8.2857 8.2857 8.2857
angles (deg): 33.19 33.19 33.19
With the nearest neighbours (Å) after each atom.
Element x y z (fractional)
Se: 0.1011 0.1011 0.1011  1 V 2.37
Se: 0.8989 0.8989 0.8989  1 V 2.37
V: 0.0000 0.0000 0.0000  2 Se 2.37
Sr: 0.5000 0.5000 0.5000  6 Se 3.14

Record 3
VASP calculation (GGA-PBE) on TlZnF3 after structural relaxation.

Summary:
The calculation puts the energy relative to the elements, uncorrected at -1.65 eV per atom. As for the symmetry: No. 194.

a b c (Å): 4.3259 4.3259 8.8461
angles (deg): 90.00 90.00 120.00
With the nearest neighbours (Å) after each atom.
Element x y z (fractional)
Zn: 0.0000 0.0000 0.5000  2 F 2.21
Zn: 0.0000 0.0000 0.0000  2 F 2.21
F: 0.3333 0.6667 0.4471  3 Zn 2.54, 3 F 2.67, 1 Tl 2.68
F: 0.3333 0.6667 0.0529  3 Zn 2.54, 3 F 2.67, 1 Tl 2.68
F: 0.6667 0.3333 0.5529  3 Zn 2.54, 3 F 2.67, 1 Tl 2.68
F: 0.6667 0.3333 0.9471  3 Zn 2.54, 3 F 2.67, 1 Tl 2.68
F: 0.0000 0.0000 0.2500  2 Zn 2.21
F: 0.0000 0.0000 0.7500  2 Zn 2.21
Tl: 0.6667 0.3333 0.2500  5 F 2.50-2.68
Tl: 0.3333 0.6667 0.7500  5 F 2.50-2.68

Record 4
VASP calculation (GGA-PBE) on ScCr2Ni after structural relaxation.

Summary:
As for the symmetry: No. 65. Its formation energy is 0.33 eV per atom. The calculation puts the energy relative to the lowest polymorph listed for this composition at 289 meV per atom.

a b c (Å): 2.5778 2.5778 8.1090
angles (deg): 90.00 90.00 90.21
With the nearest neighbours (Å) after each atom.
Element x y z (fractional)
Sc: 0.5000 0.5000 0.7500  4 Sc 2.58
Cr: 0.0000 0.0000 0.4681  4 Ni 2.54, 4 Cr 2.58
Cr: 0.0000 0.0000 0.0319  4 Ni 2.54, 4 Cr 2.58
Ni: 0.5000 0.5000 0.2500  8 Cr 2.54, 4 Ni 2.58

Record 5
VASP calculation (GGA-PBE) on In4Se2I3 after structural relaxation.

Summary:
The calculation puts the energy relative to the elements, uncorrected at -0.41 eV per atom. As for the symmetry: No. 12.

a b c (Å): 4.2536 7.4081 10.3247
angles (deg): 98.14 90.00 106.68
With the nearest neighbours (Å) after each atom.
Element x y z (fractional)
I: 0.3914 0.7827 0.6275  3 In 3.12-3.47
I: 0.6086 0.2173 0.3725  3 In 3.12-3.47
I: 0.0000 0.0000 0.0000  4 In 3.20
In: 0.6644 0.3287 0.0917  3 Se 2.77-2.81
In: 0.3356 0.6713 0.9083  3 Se 2.77-2.81
In: 0.9015 0.8030 0.3646  2 Se 3.25, 4 I 3.47-3.62
In: 0.0985 0.1970 0.6354  2 Se 3.25, 4 I 3.47-3.62
Se: 0.7137 0.4274 0.8378  3 In 2.77-2.81
Se: 0.2863 0.5726 0.1622  3 In 2.77-2.81

Record 6
VASP calculation (GGA-PBE) on BaTbGaS4 after structural relaxation.

Summary:
The calculation puts the energy relative to the elements, uncorrected at -1.61 eV per atom. As for the symmetry: No. 11.

a b c (Å): 6.5709 6.7379 8.4708
angles (deg): 90.00 107.52 90.00
With the nearest neighbours (Å) after each atom.
Element x y z (fractional)
S: 0.9942 0.0065 0.2826  1 Ga 2.29
S: 0.4313 0.7500 0.1485  1 Ga 2.26
S: 0.0058 0.9935 0.7174  1 Ga 2.29
S: 0.5480 0.2500 0.4131  1 Ga 2.24
S: 0.9942 0.4935 0.2826  1 Ga 2.29
S: 0.4520 0.7500 0.5869  1 Ga 2.24
S: 0.0058 0.5065 0.7174  1 Ga 2.29
S: 0.5687 0.2500 0.8515  1 Ga 2.26
Ga: 0.7662 0.2500 0.6738  4 S 2.24-2.29
Ga: 0.2338 0.7500 0.3262  4 S 2.24-2.29
Tb: 0.7785 0.7500 0.4472  6 S 2.75-2.85
Tb: 0.2215 0.2500 0.5528  6 S 2.75-2.85
Ba: 0.7454 0.7500 0.9379  6 S 3.02-3.36
Ba: 0.2546 0.2500 0.0621  6 S 3.02-3.36

Record 7
VASP calculation (GGA-PBE) on K2GaHgP after structural relaxation.

Summary:
As for the symmetry: No. 123. Its formation energy is -0.11 eV per atom.

a b c (Å): 6.3254 6.3254 4.6886
angles (deg): 90.00 90.00 90.00
With the nearest neighbours (Å) after each atom.
Element x y z (fractional)
Hg: 0.5000 0.5000 0.5000  8 K 3.94
K: 0.0000 0.5000 0.0000  2 P 3.16
K: 0.5000 0.0000 0.0000  2 P 3.16
P: 0.0000 0.0000 0.0000  2 Ga 2.34
Ga: 0.0000 0.0000 0.5000  2 P 2.34

Record 8
VASP calculation (GGA-PBE) on BaCa2S after structural relaxation.

Summary:
The calculation puts the energy relative to the elements, uncorrected at -0.89 eV per atom. As for the symmetry: No. 166.

a b c (Å): 3.9600 3.9600 11.1174
angles (deg): 79.74 79.74 60.00
With the nearest neighbours (Å) after each atom.
Element x y z (fractional)
Ca: 0.8849 0.8849 0.3452  3 S 2.84
Ca: 0.1151 0.1151 0.6548  3 S 2.84
Ba: 0.0000 0.0000 0.0000  2 Ca 3.76, 6 Ba 3.96
S: 0.5000 0.5000 0.5000  6 Ca 2.84

Number 1: total magnetization 0.00 μB per atom. Number 2: total magnetization 0.75 μB per atom. Number 3: total magnetization 0.00 μB per atom. Number 4: total magnetization 0.00 μB per atom. Number 5: total magnetization 0.00 μB per atom. Number 6: total magnetization 0.00 μB per atom. Number 7: total magnetization 0.00 μB per atom. Number 8: total magnetization 0.00 μB per atom.